# 1
5
Lattice="4.685 0.000 0.000 0.000 4.685 0.000 0.000 0.000 5.989" Properties=species:S:1:pos:R:3 comment="GGA-PBEsol BaAl2RhSe, optimized geometry" space_group=P4/mmm e_form_raw_ev_per_atom=-0.53 pbc="T T T"
Se 2.342 2.342 2.994
Al 0.000 2.342 0.000
Al 2.342 0.000 0.000
Rh 0.000 0.000 0.000
Ba 0.000 0.000 2.994


# 2
4
Lattice="3.104 0.000 0.000 0.000 4.087 0.000 -1.552 -2.044 7.102" Properties=species:S:1:pos:R:3 comment="GGA-PBEsol BaAl2Ru, optimized geometry" space_group=Imm2 ef_ev_per_atom=-0.1058 pbc="T T T"
Ba 1.552 2.044 0.871
Al 1.552 0.000 3.781
Al 1.552 2.044 5.726
Ru 0.000 2.044 3.826